First-principles (PBE+U) data for a relaxed structure of Ni2PdF, as listed in the Alexandria database.

```
data_Ni2PdF
_cell_length_a 5.8741
_cell_length_b 5.8741
_cell_length_c 5.8741
_cell_angle_alpha 90.00
_cell_angle_beta 90.00
_cell_angle_gamma 90.00
_symmetry_space_group_name_H-M 'F m -3 m'
_symmetry_Int_Tables_number 225
_symmetry_space_group_name_Hall '-F 4 2 3'
loop_
_atom_site_label
_atom_site_type_symbol
_atom_site_fract_x
_atom_site_fract_y
_atom_site_fract_z
Ni1 Ni 0.2500 0.2500 0.2500
Pd1 Pd 0.0000 0.0000 0.0000
F1 F 0.0000 0.0000 0.5000
```

Results
* offset from the most stable computed form: 0.3579 eV per atom
* uncorrected energy: -2.51 eV/atom
* D(E_F): 13.45 states/eV per cell